# PrTm2Lu

An optimized crystal structure of PrTm2Lu (PBE, Alexandria).

Values from the calculation:
- electronic total energy (eV/atom) = -4.46
- formation enthalpy at 0 K (eV/atom) = 0.10
- polymorph energy (0 for the lowest one) (meV per atom) = 70

Lattice parameters (Å, degrees): 3.972 3.972 8.137 90.00 90.00 90.00
Space group P4/mmm (No. 123)
Asymmetric unit:
Pr 0.000 0.000 0.000 [1 per cell]
Tm 0.500 0.500 0.272 [2 per cell]
Lu 0.000 0.000 0.500 [1 per cell]